Computed, not measured: a geometry-optimized MgTlMo2 structure at the PBE-GGA level of DFT.

Unit cell a=5.5077 b=5.4991 c=2.8463 alpha=81.76 beta=76.67 gamma=116.18
Positions (direct):
Mg 0.5000 0.5000 0.0000
Mo 0.5000 0.0000 0.5000
Tl 0.0000 0.5000 0.5000
Mo 0.0000 0.0000 0.0000

Calculated values
* space-group type: C2/m (12)
* energy relative to the elements: 0.556 eV/atom
* energy relative to the lowest polymorph listed for this composition: 1.087 eV/f.u.